(1)
## BaPrMgAl (PBE)

Data for crystalline BaPrMgAl at its relaxed geometry.

abc: 5.6629 5.6629 5.6629
angles: 60.00 60.00 60.00
Element x y z (fractional)
Ba (0.7500, 0.7500, 0.7500)
Pr (0.2500, 0.2500, 0.2500)
Al (0.5000, 0.5000, 0.5000)
Mg (0.0000, 0.0000, 0.0000)

formation enthalpy at 0 K: -50 meV per atom


(2)
## BaMgAl2Pt (PBE)

Data for crystalline BaMgAl2Pt at its relaxed geometry.

abc: 4.8961 4.8961 5.1190
angles: 90.00 90.00 90.00
Element x y z (fractional)
Al (0.0000, 0.5000, 0.0000)
Al (0.5000, 0.0000, 0.0000)
Pt (0.0000, 0.0000, 0.0000)
Ba (0.5000, 0.5000, 0.5000)
Mg (0.0000, 0.0000, 0.5000)

formation enthalpy at 0 K: -509 meV per atom


(3)
## BaMg2AlPt (PBE)

Data for crystalline BaMg2AlPt at its relaxed geometry.

abc: 5.1523 5.1523 4.8867
angles: 90.00 90.00 90.00
Element x y z (fractional)
Mg (0.0000, 0.5000, 0.0000)
Mg (0.5000, 0.0000, 0.0000)
Pt (0.0000, 0.0000, 0.0000)
Ba (0.5000, 0.5000, 0.5000)
Al (0.0000, 0.0000, 0.5000)

formation enthalpy at 0 K: -505 meV per atom


(4)
## Ba2MgAlPt (PBE)

Data for crystalline Ba2MgAlPt at its relaxed geometry.

abc: 6.2539 6.2539 4.8386
angles: 90.00 90.00 90.00
Element x y z (fractional)
Mg (0.5000, 0.5000, 0.5000)
Al (0.0000, 0.0000, 0.5000)
Ba (0.5000, 0.0000, 0.0000)
Ba (0.0000, 0.5000, 0.0000)
Pt (0.0000, 0.0000, 0.0000)

ΔE to the lowest computed polymorph: 0.0 kJ/mol of formula units
formation enthalpy at 0 K: -356 meV per atom


(5)
## BaMgAlPt2 (PBE)

Data for crystalline BaMgAlPt2 at its relaxed geometry.

abc: 4.3543 4.3543 6.6186
angles: 109.20 109.20 90.00
Element x y z (fractional)
Mg (0.2500, 0.7500, 0.5000)
Ba (0.0000, 0.0000, 0.0000)
Al (0.7500, 0.2500, 0.5000)
Pt (0.3757, 0.3757, 0.7514)
Pt (0.6243, 0.6243, 0.2486)

formation enthalpy at 0 K: -838 meV per atom


(6)
## Ba2MgAl12Pt3 (PBE)

Data for crystalline Ba2MgAl12Pt3 at its relaxed geometry.

abc: 8.1039 8.1039 8.1039
angles: 71.18 71.18 71.18
Element x y z (fractional)
Al (0.2474, 0.2474, 0.8960)
Al (0.1040, 0.7526, 0.7526)
Al (0.2474, 0.8960, 0.2474)
Al (0.7526, 0.1040, 0.7526)
Al (0.3506, 0.8703, 0.8703)
Al (0.8703, 0.3506, 0.8703)
Al (0.1297, 0.6494, 0.1297)
Al (0.1297, 0.1297, 0.6494)
Al (0.8703, 0.8703, 0.3506)
Al (0.8960, 0.2474, 0.2474)
Al (0.7526, 0.7526, 0.1040)
Al (0.6494, 0.1297, 0.1297)
Pt (0.0000, 0.0000, 0.5000)
Pt (0.0000, 0.5000, 0.0000)
Pt (0.5000, 0.0000, 0.0000)
Ba (0.3965, 0.3965, 0.3965)
Ba (0.6035, 0.6035, 0.6035)
Mg (0.0000, 0.0000, 0.0000)

formation enthalpy at 0 K: -137 meV per atom


(7)
## BaMg2AlRh (PBE)

Data for crystalline BaMg2AlRh at its relaxed geometry.

abc: 5.1175 5.1175 4.8606
angles: 90.00 90.00 90.00
Element x y z (fractional)
Al (0.0000, 0.0000, 0.5000)
Ba (0.5000, 0.5000, 0.5000)
Mg (0.0000, 0.5000, 0.0000)
Mg (0.5000, 0.0000, 0.0000)
Rh (0.0000, 0.0000, 0.0000)

formation enthalpy at 0 K: -384 meV per atom


(8)
## BaMgAl2Ru (PBE)

Data for crystalline BaMgAl2Ru at its relaxed geometry.

abc: 4.8638 4.8638 5.1149
angles: 90.00 90.00 90.00
Element x y z (fractional)
Al (0.0000, 0.5000, 0.0000)
Al (0.5000, 0.0000, 0.0000)
Ru (0.0000, 0.0000, 0.0000)
Mg (0.0000, 0.0000, 0.5000)
Ba (0.5000, 0.5000, 0.5000)

formation enthalpy at 0 K: -332 meV per atom


(9)
## Ba2MgAl2Sb4 (PBE)

Data for crystalline Ba2MgAl2Sb4 at its relaxed geometry.

abc: 4.5085 7.9443 8.7132
angles: 108.90 104.99 90.00
Element x y z (fractional)
Ba (0.8736, 0.4405, 0.7473)
Ba (0.1264, 0.5595, 0.2527)
Al (0.6693, 0.9812, 0.3387)
Al (0.3307, 0.0188, 0.6613)
Sb (0.7916, 0.8081, 0.5832)
Sb (0.4902, 0.2426, 0.9803)
Sb (0.5098, 0.7574, 0.0197)
Sb (0.2084, 0.1919, 0.4168)
Mg (0.0000, 0.0000, 0.0000)

E_form (uncorrected): -0.5744 eV per atom


(10)
## BaMgAlSi2 (PBE)

Data for crystalline BaMgAlSi2 at its relaxed geometry.

abc: 4.4811 4.4811 6.4762
angles: 110.24 110.24 90.00
Element x y z (fractional)
Mg (0.2500, 0.7500, 0.5000)
Si (0.6154, 0.6154, 0.2309)
Si (0.3846, 0.3846, 0.7691)
Al (0.7500, 0.2500, 0.5000)
Ba (0.0000, 0.0000, 0.0000)

E_form (uncorrected): -0.2829 eV per atom


(11)
## BaMgAl2Si (PBE)

Data for crystalline BaMgAl2Si at its relaxed geometry.

abc: 4.6305 4.6033 6.4826
angles: 110.80 110.93 90.00
Element x y z (fractional)
Al (0.0566, 0.0566, 0.1132)
Al (0.6928, 0.1928, 0.3856)
Mg (0.1962, 0.6962, 0.3924)
Si (0.8269, 0.8269, 0.6538)
Ba (0.4397, 0.4397, 0.8793)

E_form (uncorrected): -0.2487 eV per atom


(12)
## Ba2MgAl4Si3 (PBE)

Data for crystalline Ba2MgAl4Si3 at its relaxed geometry.

abc: 4.5910 4.5910 10.8914
angles: 90.00 90.00 90.00
Element x y z (fractional)
Al (0.5000, 0.5000, 0.0000)
Al (0.5000, 0.0000, 0.6381)
Al (0.0000, 0.0000, 0.0000)
Al (0.0000, 0.5000, 0.3619)
Ba (0.0000, 0.5000, 0.7540)
Ba (0.5000, 0.0000, 0.2460)
Mg (0.5000, 0.5000, 0.5000)
Si (0.0000, 0.0000, 0.5000)
Si (0.0000, 0.5000, 0.1153)
Si (0.5000, 0.0000, 0.8847)

E_form (uncorrected): -0.1854 eV per atom


no.,M_tot (μB/atom)
1,0.000
2,0.000
3,0.037
4,0.000
5,0.000
6,0.000
7,0.000
8,0.000
9,0.000
10,0.000
11,0.000
12,0.000